The following is a PBE-GGA calculation of MgHgS2 after structural relaxation, from the Alexandria database.

Computed properties:
**Raw formation energy**: -592.2 meV/atom
**E**: -3.1300 eV per atom
**SG**: Pnma
**Magnetization**: 0.0 μB/cell
**Energy above the lowest structure with this stoichiometry**: 176.5 meV/atom
**Crystal system**: orthorhombic

a = 7.0102 Å, b = 3.9477 Å, c = 12.7314 Å
α = 90.00°, β = 90.00°, γ = 90.00°
Atoms (fractional coordinates):
Mg: 0.3907 0.7500 0.1122
Mg: 0.1093 0.2500 0.6122
S: 0.0663 0.7500 0.2160
Hg: 0.9105 0.2500 0.1183
Hg: 0.4105 0.2500 0.3817
S: 0.2074 0.7500 0.4969
Mg: 0.8907 0.7500 0.3878
S: 0.4337 0.2500 0.7160
S: 0.9337 0.2500 0.7840
S: 0.2926 0.2500 0.9969
Mg: 0.6093 0.2500 0.8878
Hg: 0.5895 0.7500 0.6183
Hg: 0.0895 0.7500 0.8817
S: 0.7926 0.2500 0.5031
S: 0.7074 0.7500 0.0031
S: 0.5663 0.7500 0.2840

***

The following is a PBE-GGA calculation of MgHgS2 after structural relaxation, from the Alexandria database.

Computed properties:
**Raw formation energy**: -675.5 meV/atom
**E**: -3.2133 eV per atom
**SG**: C2/c
**Magnetization**: 0.0 μB/cell
**Energy above the lowest structure with this stoichiometry**: 93.3 meV/atom
**Crystal system**: monoclinic

a = 16.1820 Å, b = 8.0989 Å, c = 8.0989 Å
α = 63.36°, β = 109.26°, γ = 70.74°
Atoms (fractional coordinates):
Hg: 0.3451 0.3381 0.6754
S: 0.7500 0.1964 0.6964
S: 0.9798 0.2417 0.7372
Mg: 0.8901 0.2086 0.9356
S: 0.2415 0.8180 0.8361
S: 0.2500 0.8036 0.3036
Hg: 0.6549 0.6619 0.3246
Hg: 0.1549 0.1754 0.8381
S: 0.0202 0.7583 0.2628
Hg: 0.6212 0.2114 0.2206
S: 0.4798 0.7628 0.2583
S: 0.9894 0.2047 0.2583
S: 0.2585 0.3361 0.3180
Mg: 0.3870 0.0629 0.2795
S: 0.7500 0.6454 0.1454
Hg: 0.8788 0.7206 0.7114
Mg: 0.1130 0.7795 0.5629
S: 0.5106 0.7583 0.7047
S: 0.2500 0.3546 0.8546
Mg: 0.6130 0.9371 0.7205
Mg: 0.3901 0.5644 0.2914
Hg: 0.1212 0.2794 0.2886
Mg: 0.1099 0.7914 0.0644
Mg: 0.8870 0.2205 0.4371
S: 0.7585 0.1820 0.1639
S: 0.0106 0.7953 0.7417
Mg: 0.6099 0.4356 0.7086
S: 0.4894 0.2417 0.2953
S: 0.7415 0.6639 0.6820
Hg: 0.8451 0.8246 0.1619
S: 0.5202 0.2372 0.7417
Hg: 0.3788 0.7886 0.7794

***

The following is a PBE-GGA calculation of MgHg2S after structural relaxation, from the Alexandria database.

Computed properties:
**Raw formation energy**: -198.5 meV/atom
**E**: -1.7799 eV per atom
**SG**: I-42d
**Magnetization**: 0.0 μB/cell
**Crystal system**: tetragonal

a = 8.4048 Å, b = 8.4048 Å, c = 6.5120 Å
α = 49.81°, β = 49.81°, γ = 90.00°
Atoms (fractional coordinates):
Hg: 0.8750 0.9056 0.7500
Hg: 0.6556 0.1250 0.2500
S: 0.0000 0.0000 0.0000
S: 0.7500 0.2500 0.5000
Hg: 0.3750 0.3444 0.7500
Mg: 0.5000 0.5000 0.0000
Hg: 0.0944 0.6250 0.2500
Mg: 0.2500 0.7500 0.5000

***

The following is a PBE-GGA calculation of MgHgS2 after structural relaxation, from the Alexandria database.

Computed properties:
**Raw formation energy**: -648.7 meV/atom
**E**: -3.1865 eV per atom
**SG**: P3m1
**Magnetization**: 0.0 μB/cell
**Energy above the lowest structure with this stoichiometry**: 120.0 meV/atom
**Crystal system**: trigonal

a = 4.1370 Å, b = 4.1370 Å, c = 6.4138 Å
α = 90.00°, β = 90.00°, γ = 120.00°
Atoms (fractional coordinates):
S: 0.3333 0.6667 0.8064
Mg: 0.3333 0.6667 0.4105
S: 0.6667 0.3333 0.3052
Hg: 0.0000 0.0000 0.9329

***

The following is a PBE-GGA calculation of Mg2HgS2 after structural relaxation, from the Alexandria database.

Computed properties:
**Raw formation energy**: -851.9 meV/atom
**E**: -3.2011 eV per atom
**SG**: I4/mmm
**Magnetization**: 0.0 μB/cell
**Energy above the lowest structure with this stoichiometry**: 118.5 meV/atom
**Crystal system**: tetragonal

a = 4.9645 Å, b = 4.9645 Å, c = 7.3808 Å
α = 70.35°, β = 70.35°, γ = 90.00°
Atoms (fractional coordinates):
S: 0.7500 0.2500 0.5000
S: 0.2500 0.7500 0.5000
Mg: 0.2400 0.2400 0.5200
Mg: 0.7600 0.7600 0.4800
Hg: 0.0000 0.0000 0.0000

***

The following is a PBE-GGA calculation of Mg2HgS3 after structural relaxation, from the Alexandria database.

Computed properties:
**Raw formation energy**: -985.0 meV/atom
**E**: -3.6305 eV per atom
**SG**: Fdd2
**Magnetization**: 0.0 μB/cell
**Crystal system**: orthorhombic

a = 7.0977 Å, b = 7.0977 Å, c = 12.9318 Å
α = 100.47°, β = 100.47°, γ = 109.74°
Atoms (fractional coordinates):
Mg: 0.8343 0.4992 0.8316
S: 0.0425 0.4479 0.9903
Hg: 0.5868 0.7536 0.3380
Hg: 0.2464 0.4132 0.6620
S: 0.1989 0.6187 0.3382
Mg: 0.7527 0.9176 0.6684
Mg: 0.0824 0.2473 0.3316
S: 0.7150 0.1404 0.3345
Hg: 0.3344 0.0013 0.8380
S: 0.6108 0.5305 0.1618
Mg: 0.5008 0.1657 0.1684
S: 0.1305 0.0559 0.1655
Hg: 0.9987 0.6656 0.1620
S: 0.8021 0.7075 0.5097
Mg: 0.6669 0.3331 0.5000
S: 0.5521 0.9575 0.0097
S: 0.8596 0.2850 0.6655
S: 0.3813 0.8011 0.6619
S: 0.4695 0.3892 0.8382
Mg: 0.4154 0.5846 0.0000
Mg: 0.9169 0.0831 0.0000
S: 0.9441 0.8695 0.8345
S: 0.2925 0.1979 0.4903
Mg: 0.1654 0.8346 0.5000

***

The following is a PBE-GGA calculation of MgHgS2 after structural relaxation, from the Alexandria database.

Computed properties:
**Raw formation energy**: -704.2 meV/atom
**E**: -3.2420 eV per atom
**SG**: P3m1
**Magnetization**: 0.0 μB/cell
**Energy above the lowest structure with this stoichiometry**: 64.5 meV/atom
**Crystal system**: trigonal

a = 3.9265 Å, b = 3.9265 Å, c = 6.6510 Å
α = 90.00°, β = 90.00°, γ = 120.00°
Atoms (fractional coordinates):
Hg: 0.3333 0.6667 0.4441
Mg: 0.0000 0.0000 0.9707
S: 0.3333 0.6667 0.8115
S: 0.6667 0.3333 0.2287

***

The following is a PBE-GGA calculation of MgHgS2 after structural relaxation, from the Alexandria database.

Computed properties:
**Raw formation energy**: -767.9 meV/atom
**E**: -3.3057 eV per atom
**SG**: Cm
**Magnetization**: 0.0 μB/cell
**Energy above the lowest structure with this stoichiometry**: 0.8 meV/atom
**Crystal system**: monoclinic

a = 7.1069 Å, b = 7.1669 Å, c = 4.1477 Å
α = 73.18°, β = 89.98°, γ = 99.82°
Atoms (fractional coordinates):
Mg: 0.5495 0.3080 0.1173
S: 0.9911 0.9315 0.8049
S: 0.7235 0.4216 0.5603
Mg: 0.3000 0.8160 0.8629
S: 0.2550 0.4518 0.0449
Hg: 0.7861 0.8061 0.3676
S: 0.4690 0.9430 0.2993
Hg: 0.0559 0.3152 0.6131

***

The following is a PBE-GGA calculation of MgHgS after structural relaxation, from the Alexandria database.

Computed properties:
**Raw formation energy**: -713.1 meV/atom
**E**: -2.7211 eV per atom
**SG**: P3m1
**Magnetization**: 0.0 μB/cell
**Energy above the lowest structure with this stoichiometry**: 154.5 meV/atom
**Crystal system**: trigonal

a = 3.9616 Å, b = 3.9616 Å, c = 5.7909 Å
α = 90.00°, β = 90.00°, γ = 120.00°
Atoms (fractional coordinates):
Mg: 0.3333 0.6667 0.5662
Hg: 0.0000 0.0000 0.9944
S: 0.6667 0.3333 0.4395

***

The following is a PBE-GGA calculation of MgHgS2 after structural relaxation, from the Alexandria database.

Computed properties:
**Raw formation energy**: -767.1 meV/atom
**E**: -3.3049 eV per atom
**SG**: Pm
**Magnetization**: 0.0 μB/cell
**Energy above the lowest structure with this stoichiometry**: 1.6 meV/atom
**Crystal system**: monoclinic

a = 7.1039 Å, b = 4.1561 Å, c = 7.1034 Å
α = 89.99°, β = 71.66°, γ = 90.01°
Atoms (fractional coordinates):
Mg: 0.4571 0.2281 0.2610
Hg: 0.9578 0.7274 0.2604
Mg: 0.9571 0.2282 0.7612
S: 0.3229 0.2282 0.6265
Hg: 0.4577 0.7282 0.7601
S: 0.3417 0.7280 0.1445
S: 0.8229 0.2276 0.1268
S: 0.8417 0.7281 0.6447

***

The following is a PBE-GGA calculation of MgHgS2 after structural relaxation, from the Alexandria database.

Computed properties:
**Raw formation energy**: -763.4 meV/atom
**E**: -3.3012 eV per atom
**SG**: Cm
**Magnetization**: 0.0 μB/cell
**Energy above the lowest structure with this stoichiometry**: 5.3 meV/atom
**Crystal system**: monoclinic

a = 4.1436 Å, b = 8.2359 Å, c = 4.1444 Å
α = 89.93°, β = 119.96°, γ = 59.80°
Atoms (fractional coordinates):
Mg: 0.5331 0.5131 0.2019
S: 0.0226 0.1449 0.4463
Hg: 0.5452 0.0028 0.2073
S: 0.0611 0.6169 0.4661

***

The following is a PBE-GGA calculation of MgHgS2 after structural relaxation, from the Alexandria database.

Computed properties:
**Raw formation energy**: -578.3 meV/atom
**E**: -3.1162 eV per atom
**SG**: P2_1/c
**Magnetization**: 0.0 μB/cell
**Energy above the lowest structure with this stoichiometry**: 190.4 meV/atom
**Crystal system**: monoclinic

a = 17.8845 Å, b = 3.9543 Å, c = 7.9674 Å
α = 90.00°, β = 135.26°, γ = 90.00°
Atoms (fractional coordinates):
S: 0.6260 0.7522 0.1878
S: 0.8740 0.2522 0.3122
Mg: 0.0445 0.2616 0.4221
S: 0.0464 0.8980 0.1718
S: 0.5464 0.6020 0.6718
Mg: 0.9555 0.7384 0.5779
S: 0.1260 0.7478 0.6878
S: 0.3740 0.2478 0.8122
Mg: 0.5445 0.2384 0.9221
Hg: 0.7427 0.4393 0.8697
S: 0.9536 0.1020 0.8282
Hg: 0.2427 0.0607 0.3697
Mg: 0.4555 0.7616 0.0779
Hg: 0.2573 0.5607 0.1303
Hg: 0.7573 0.9393 0.6303
S: 0.4536 0.3980 0.3282

***

The following is a PBE-GGA calculation of MgHgS after structural relaxation, from the Alexandria database.

Computed properties:
**Raw formation energy**: -653.4 meV/atom
**E**: -2.6614 eV per atom
**SG**: Immm
**Magnetization**: 0.0 μB/cell
**Energy above the lowest structure with this stoichiometry**: 214.2 meV/atom
**Crystal system**: orthorhombic

a = 4.1560 Å, b = 5.3184 Å, c = 7.8209 Å
α = 109.88°, β = 105.41°, γ = 90.00°
Atoms (fractional coordinates):
S: 0.8081 0.3081 0.6162
S: 0.1919 0.6919 0.3838
Hg: 0.5000 0.7482 0.0000
Mg: 0.2169 0.2169 0.4338
Mg: 0.7831 0.7831 0.5662
Hg: 0.5000 0.2518 0.0000

***

The following is a PBE-GGA calculation of MgHg2S after structural relaxation, from the Alexandria database.

Computed properties:
**Raw formation energy**: 62.5 meV/atom
**E**: -1.5189 eV per atom
**SG**: R-3m
**Magnetization**: 0.0 μB/cell
**Crystal system**: trigonal

a = 3.9205 Å, b = 3.9205 Å, c = 8.8395 Å
α = 77.19°, β = 77.19°, γ = 60.00°
Atoms (fractional coordinates):
Mg: 0.0000 0.0000 0.0000
Hg: 0.8971 0.8971 0.3086
Hg: 0.1029 0.1029 0.6914
S: 0.5000 0.5000 0.5000

***

The following is a PBE-GGA calculation of MgHgS2 after structural relaxation, from the Alexandria database.

Computed properties:
**Raw formation energy**: -657.2 meV/atom
**E**: -3.1950 eV per atom
**SG**: I4_1/amd
**Magnetization**: 0.0 μB/cell
**Energy above the lowest structure with this stoichiometry**: 111.5 meV/atom
**Crystal system**: tetragonal

a = 5.3192 Å, b = 5.3192 Å, c = 6.8261 Å
α = 67.07°, β = 67.07°, γ = 90.00°
Atoms (fractional coordinates):
Mg: 0.2500 0.7500 0.5000
S: 0.0182 0.5182 0.9636
S: 0.2682 0.2682 0.4636
S: 0.4818 0.9818 0.0364
Hg: 0.0000 0.0000 0.0000
S: 0.7318 0.7318 0.5364
Hg: 0.7500 0.2500 0.5000
Mg: 0.5000 0.5000 0.0000

***

The following is a PBE-GGA calculation of MgHgS2 after structural relaxation, from the Alexandria database.

Computed properties:
**Raw formation energy**: -730.0 meV/atom
**E**: -3.2678 eV per atom
**SG**: R-3m
**Magnetization**: 0.0 μB/cell
**Energy above the lowest structure with this stoichiometry**: 38.7 meV/atom
**Crystal system**: trigonal

a = 7.5568 Å, b = 7.5568 Å, c = 7.5568 Å
α = 30.67°, β = 30.67°, γ = 30.67°
Atoms (fractional coordinates):
Hg: 0.0000 0.0000 0.0000
Mg: 0.5000 0.5000 0.5000
S: 0.8914 0.8914 0.8914
S: 0.1086 0.1086 0.1086

***

The following is a PBE-GGA calculation of MgHgS after structural relaxation, from the Alexandria database.

Computed properties:
**Raw formation energy**: -858.8 meV/atom
**E**: -2.8667 eV per atom
**SG**: P1
**Magnetization**: 0.0 μB/cell
**Energy above the lowest structure with this stoichiometry**: 8.9 meV/atom
**Crystal system**: triclinic

a = 4.1733 Å, b = 4.1765 Å, c = 11.7666 Å
α = 87.63°, β = 87.66°, γ = 60.28°
Atoms (fractional coordinates):
Mg: 0.8532 0.3482 0.0573
Mg: 0.2022 0.6976 0.8672
Hg: 0.8389 0.3129 0.3499
S: 0.1853 0.6802 0.0857
S: 0.8707 0.3653 0.8354
Hg: 0.4903 0.9637 0.5564

***

The following is a PBE-GGA calculation of MgHg3S4 after structural relaxation, from the Alexandria database.

Computed properties:
**Raw formation energy**: -444.3 meV/atom
**E**: -2.8205 eV per atom
**SG**: P-43m
**Magnetization**: 0.0 μB/cell
**Crystal system**: cubic

a = 5.9168 Å, b = 5.9168 Å, c = 5.9168 Å
α = 90.00°, β = 90.00°, γ = 90.00°
Atoms (fractional coordinates):
S: 0.2416 0.2416 0.2416
S: 0.7584 0.2416 0.7584
Hg: 0.0000 0.5000 0.5000
S: 0.2416 0.7584 0.7584
S: 0.7584 0.7584 0.2416
Hg: 0.5000 0.5000 0.0000
Mg: 0.0000 0.0000 0.0000
Hg: 0.5000 0.0000 0.5000

***

The following is a PBE-GGA calculation of MgHgS2 after structural relaxation, from the Alexandria database.

Computed properties:
**Raw formation energy**: -464.2 meV/atom
**E**: -3.0021 eV per atom
**SG**: P2_1/c
**Magnetization**: 0.0 μB/cell
**Energy above the lowest structure with this stoichiometry**: 304.5 meV/atom
**Crystal system**: monoclinic

a = 16.6130 Å, b = 4.2399 Å, c = 8.1686 Å
α = 90.00°, β = 133.01°, γ = 90.00°
Atoms (fractional coordinates):
S: 0.8279 0.2425 0.5772
Hg: 0.8706 0.7337 0.8996
S: 0.5894 0.7408 0.0350
S: 0.4106 0.2592 0.9650
Mg: 0.6276 0.2412 0.2480
Mg: 0.1276 0.2588 0.7480
S: 0.1721 0.7575 0.4228
S: 0.3279 0.2575 0.0772
Mg: 0.8724 0.7412 0.2520
S: 0.9106 0.2408 0.4650
Hg: 0.1294 0.2663 0.1004
S: 0.6721 0.7425 0.9228
S: 0.0894 0.7592 0.5350
Hg: 0.3706 0.7663 0.3996
Mg: 0.3724 0.7588 0.7520
Hg: 0.6294 0.2337 0.6004

***

The following is a PBE-GGA calculation of MgHgS2 after structural relaxation, from the Alexandria database.

Computed properties:
**Raw formation energy**: -744.3 meV/atom
**E**: -3.2821 eV per atom
**SG**: I-42d
**Magnetization**: 0.0 μB/cell
**Energy above the lowest structure with this stoichiometry**: 24.4 meV/atom
**Crystal system**: tetragonal

a = 5.8314 Å, b = 5.8314 Å, c = 7.1737 Å
α = 66.02°, β = 66.02°, γ = 90.00°
Atoms (fractional coordinates):
Hg: 0.0000 0.0000 0.0000
Mg: 0.2500 0.7500 0.5000
Mg: 0.5000 0.5000 0.0000
S: 0.3750 0.3944 0.7500
S: 0.1444 0.6250 0.2500
S: 0.8750 0.8556 0.7500
S: 0.6056 0.1250 0.2500
Hg: 0.7500 0.2500 0.5000

***

The following is a PBE-GGA calculation of MgHg2S3 after structural relaxation, from the Alexandria database.

Computed properties:
**Raw formation energy**: -552.7 meV/atom
**E**: -2.9828 eV per atom
**SG**: Cmc2_1
**Magnetization**: 0.0 μB/cell
**Crystal system**: orthorhombic

a = 6.8134 Å, b = 7.2104 Å, c = 7.2104 Å
α = 120.03°, β = 90.00°, γ = 90.00°
Atoms (fractional coordinates):
S: 0.4366 0.1681 0.4892
Mg: 0.0562 0.8352 0.8352
Mg: 0.5562 0.1648 0.1648
Hg: 0.0551 0.1647 0.4940
Hg: 0.0551 0.4940 0.1647
S: 0.4184 0.8485 0.8485
Hg: 0.5551 0.5060 0.8353
S: 0.9184 0.1515 0.1515
S: 0.9366 0.8319 0.5108
Hg: 0.5551 0.8353 0.5060
S: 0.9366 0.5108 0.8319
S: 0.4366 0.4892 0.1681

***

The following is a PBE-GGA calculation of MgHgS2 after structural relaxation, from the Alexandria database.

Computed properties:
**Raw formation energy**: -303.8 meV/atom
**E**: -2.8416 eV per atom
**SG**: Cmcm
**Magnetization**: 0.0 μB/cell
**Energy above the lowest structure with this stoichiometry**: 464.9 meV/atom
**Crystal system**: orthorhombic

a = 9.9546 Å, b = 9.9546 Å, c = 4.8450 Å
α = 90.00°, β = 90.00°, γ = 157.41°
Atoms (fractional coordinates):
Mg: 0.9350 0.0650 0.7500
S: 0.8086 0.1914 0.7500
Hg: 0.6778 0.3222 0.7500
Hg: 0.3222 0.6778 0.2500
S: 0.9364 0.0636 0.2500
S: 0.1914 0.8086 0.2500
Mg: 0.0650 0.9350 0.2500
S: 0.0636 0.9364 0.7500